An optimized crystal structure of Cr2SiOs, computed with PBE.

```
data_Cr2SiOs
_cell_length_a 5.8613
_cell_length_b 5.8613
_cell_length_c 5.8613
_cell_angle_alpha 90.00
_cell_angle_beta 90.00
_cell_angle_gamma 90.00
_symmetry_space_group_name_H-M 'F -4 3 m'
_symmetry_Int_Tables_number 216
_symmetry_space_group_name_Hall 'F -4 2 3'
loop_
_atom_site_label
_atom_site_type_symbol
_atom_site_fract_x
_atom_site_fract_y
_atom_site_fract_z
Cr1 Cr 0.0000 0.0000 0.0000
Cr2 Cr 0.2500 0.2500 0.2500
Si1 Si 0.2500 0.2500 0.7500
Os1 Os 0.0000 0.0000 0.5000
```

Computed properties:
- Raw formation energy: -177 meV per atom